Below is a geometry-optimized NaBBr2 structure, with properties calculated at the GGA-PBE level.

ΔE to the lowest computed polymorph, eV/atom: 0.0000

a b c (Å): 6.0918 6.0918 13.5782
angles (deg): 90.00 90.00 90.00
With the nearest neighbours (Å) after each atom.
Space group I-42d (No. 122)
Asymmetric unit:
Na: 0.0000 0.0000 0.0000 x4  4 Br 2.90
B: 0.0000 0.0000 0.5000 x4  4 Br 2.61
Br: 0.2069 0.2500 0.6250 x8  2 B 2.61, 2 Na 2.90

=====

Below is a geometry-optimized LaAgOs2 structure, with properties calculated at the GGA-PBE level.

ΔE to the lowest computed polymorph, eV/atom: 0.0289

a b c (Å): 2.9366 2.9366 8.6955
angles (deg): 90.00 90.00 90.00
With the nearest neighbours (Å) after each atom.
Space group P4mm (No. 99)
Asymmetric unit:
La: 0.0000 0.0000 0.0000 x1  4 La 2.94, 4 Os 3.22
Ag: 0.5000 0.5000 0.6975 x1  4 Os 2.92, 4 Ag 2.94
Os: 0.0000 0.0000 0.4622 x1  4 Os 2.60
Os: 0.5000 0.5000 0.2831 x1  4 Os 2.60

=====

Below is a geometry-optimized MoRu structure, with properties calculated at the GGA-PBE level.

Energy, eV per atom: -9.87

a b c (Å): 2.7633 2.7633 27.2981
angles (deg): 90.00 90.00 120.00
With the nearest neighbours (Å) after each atom.
Space group R-3m (No. 166, hexagonal axes)
Asymmetric unit:
Mo: 0.0000 0.0000 0.1212 x6  3 Ru 2.69, 9 Mo 2.76-2.95
Ru: 0.0000 0.0000 0.3754 x6  3 Mo 2.69, 9 Ru 2.76-2.79

=====

Below is a geometry-optimized BePtRh2 structure, with properties calculated at the GGA-PBE level.

Energy, eV per atom: -6.32

a b c (Å): 3.7869 3.7869 7.4823
angles (deg): 90.00 90.00 90.00
With the nearest neighbours (Å) after each atom.
Space group I-4m2 (No. 119)
Asymmetric unit:
Be: 0.0000 0.0000 0.0000 x2  8 Rh 2.66-2.68, 4 Pt 2.66
Pt: 0.0000 0.5000 0.7500 x2  4 Be 2.66, 8 Rh 2.66-2.68
Rh: 0.0000 0.0000 0.5000 x2  4 Rh 2.66, 4 Pt 2.66, 4 Be 2.68
Rh: 0.0000 0.5000 0.2500 x2  4 Be 2.66, 4 Rh 2.66, 4 Pt 2.68

=====

no.,spin magnetization (Bohr magnetons per cell)
1,0.0
2,0.0
3,0.0
4,0.0